(1)
The following is a DFT calculation (PBE) of a geometry-optimized HoEr3In2C2 structure.

The structure belongs to space group P3m1 (No. 156); the cell edges are 3.5706, 3.5706 and 16.1978 Å and the angles 90.00°, 90.00° and 120.00°. The inequivalent atoms are Ho at (0.0000, 0.0000, 0.0000), Er at (0.0000, 0.0000, 0.6647), Er at (0.3333, 0.6667, 0.1655), Er at (0.3333, 0.6667, 0.5000), In at (0.0000, 0.0000, 0.3326), In at (0.3333, 0.6667, 0.8318), C at (0.6667, 0.3333, 0.0829) and C at (0.6667, 0.3333, 0.5824).

Its energy is -5.692 eV/atom.

(2)
The following is a DFT calculation (PBE) of a geometry-optimized LiTlTcNi structure.

The structure belongs to space group F-43m (No. 216); the cell edges are 6.2037, 6.2037 and 6.2037 Å and the angles 90.00°, 90.00° and 90.00°. The inequivalent atoms are Li at (0.0000, 0.0000, 0.0000), Tl at (0.2500, 0.2500, 0.2500), Tc at (0.2500, 0.2500, 0.7500) and Ni at (0.0000, 0.0000, 0.5000).

The calculation puts the energy relative to the lowest polymorph listed for this composition at 0 meV per atom.

(3)
The following is a DFT calculation (PBE) of a geometry-optimized Li4PuAu5 structure.

The structure belongs to space group P4/mmm (No. 123); the cell edges are 3.2338, 3.2338 and 16.1891 Å and the angles 90.00°, 90.00° and 90.00°. The inequivalent atoms are Li at (0.0000, 0.0000, 0.0920), Li at (0.0000, 0.0000, 0.2744), Pu at (0.0000, 0.0000, 0.5000), Au at (0.5000, 0.5000, 0.0000), Au at (0.5000, 0.5000, 0.1832) and Au at (0.5000, 0.5000, 0.3663).

Its energy is -4.357 eV/atom.

(4)
The following is a DFT calculation (PBE) of a geometry-optimized NaNdB4 structure.

The structure belongs to space group Immm (No. 71); the cell edges are 3.1616, 5.6362 and 8.3754 Å and the angles 90.00°, 90.00° and 90.00°. The inequivalent atoms are Na at (0.0000, 0.0000, 0.0000), Nd at (0.0000, 0.0000, 0.5000) and B at (0.0000, 0.3172, 0.2447).

The calculation puts the energy relative to the lowest polymorph listed for this composition at 0 meV per atom.